No. 1
NaLi2Tc | PBE | relaxed

Calculated values
Formation enthalpy at 0 K: 0.92 eV/atom

a = 7.1629 Å, b = 7.1629 Å, c = 5.8465 Å
α = 90.00°, β = 90.00°, γ = 90.00°
Closest atoms and distances in Å follow each position.
Space group I-42d (No. 122)
Inequivalent atoms, fractional coordinates:
Na (0.0000, 0.0000, 0.0000) (multiplicity 4)  4 Li 2.66, 2 Tc 2.92
Li (0.2455, 0.7500, 0.6250) (multiplicity 8)  2 Tc 2.61, 2 Na 2.66, 2 Li 2.92
Tc (0.0000, 0.0000, 0.5000) (multiplicity 4)  4 Li 2.61, 2 Na 2.92


No. 2
Nd3TmGa4 | PBE | relaxed

Calculated values
Formation enthalpy at 0 K: -0.56 eV/atom

a = 3.6447 Å, b = 3.6447 Å, c = 14.6927 Å
α = 90.00°, β = 90.00°, γ = 90.00°
Closest atoms and distances in Å follow each position.
Space group P4/mmm (No. 123)
Inequivalent atoms, fractional coordinates:
Nd (0.0000, 0.0000, 0.0000) (multiplicity 1)  8 Ga 3.20
Nd (0.0000, 0.0000, 0.2572) (multiplicity 2)  8 Ga 3.19-3.22, 1 Tm 3.57
Tm (0.0000, 0.0000, 0.5000) (multiplicity 1)  8 Ga 3.05
Ga (0.5000, 0.5000, 0.1288) (multiplicity 2)  8 Nd 3.19-3.20
Ga (0.5000, 0.5000, 0.3890) (multiplicity 2)  4 Tm 3.05, 4 Nd 3.22, 1 Ga 3.26